## P
Compound: TbY2Te4
Source: the Alexandria database
Functional: PBE
Structure: optimized geometry

Structure (POSCAR):
```
TbY2Te4
1.0
8.1645 -2.1757 0.0000
8.1645 2.1757 0.0000
-3.4792 0.0000 6.7389
Tb Y Te
1 2 4
Cartesian
0.0000 0.0000 0.0000 Tb
3.2408 0.0000 1.8206 Y
9.6091 0.0000 4.9183 Y
0.3979 0.0000 3.0488 Te
5.9386 0.0000 0.2216 Te
6.9113 0.0000 6.5173 Te
12.4520 0.0000 3.6902 Te
```

Computed properties:
The space group is C2/m.

---

## Q
Compound: TbY2Te4
Source: the Alexandria database
Functional: PBE
Structure: optimized geometry

Structure (POSCAR):
```
TbY2Te4
1.0
2.1240 -7.1720 0.0000
2.1240 7.1720 0.0000
0.0000 0.0000 14.9663
Tb Y Te
2 4 8
Cartesian
2.1240 5.3338 11.2247 Tb
2.1240 -5.3338 3.7416 Tb
2.1240 1.8815 8.5231 Y
2.1240 1.8815 13.9263 Y
2.1240 -1.8815 1.0400 Y
2.1240 -1.8815 6.4432 Y
0.0000 0.0000 0.0000 Te
0.0000 0.0000 7.4832 Te
2.1240 3.1739 1.8280 Te
2.1240 3.1739 5.6551 Te
2.1240 0.4381 11.2247 Te
2.1240 -0.4381 3.7416 Te
2.1240 -3.1739 9.3112 Te
2.1240 -3.1739 13.1383 Te
```

Computed properties:
The space group is Cmcm.

---

Name the most stable of them. P.

---

## P
Compound: TbY3Te4
Source: the Alexandria database
Functional: PBE
Structure: optimized geometry

Structure (POSCAR):
```
TbY3Te4
1.0
-3.0858 3.0858 6.1898
3.0858 -3.0858 6.1898
3.0858 3.0858 -6.1898
Tb Y Te
1 3 4
Cartesian
0.0000 0.0000 0.0000 Tb
3.0858 0.0000 3.0949 Y
0.0000 0.0000 6.1898 Y
0.0000 3.0858 3.0949 Y
3.0858 0.0000 0.0000 Te
0.0000 0.0000 3.0984 Te
0.0000 3.0858 0.0000 Te
0.0000 0.0000 9.2811 Te
```

Computed properties:
The space group is I4/mmm.

---

## Q
Compound: TbY3Te4
Source: the Alexandria database
Functional: PBE
Structure: optimized geometry

Structure (POSCAR):
```
TbY3Te4
1.0
7.5846 0.0000 0.0000
0.0000 8.6770 0.0000
-2.5114 0.0000 7.1567
Tb Y Te
2 6 8
Cartesian
-0.6278 1.0850 1.7892 Tb
-1.8835 7.5920 5.3675 Tb
-1.8835 3.2462 5.3675 Y
-0.6278 5.4308 1.7892 Y
1.9088 1.0843 5.3675 Y
3.1645 3.2455 1.7892 Y
1.9088 5.4315 5.3675 Y
3.1645 7.5927 1.7892 Y
0.6411 3.2603 3.5807 Te
1.8968 5.4167 0.0024 Te
-0.6110 1.0838 7.1559 Te
0.6447 7.5932 3.5776 Te
4.4286 1.0838 3.5790 Te
5.6843 7.5932 0.0007 Te
3.1764 3.2603 7.1543 Te
4.4321 5.4167 3.5759 Te
```

Computed properties:
The space group is P2/c.

---

Name the most stable of them. Q.

---

## P
Compound: Tb3YTe6
Source: the Alexandria database
Functional: PBE
Structure: optimized geometry

Structure (POSCAR):
```
Tb3YTe6
1.0
6.4244 3.7091 5.1759
-6.4244 3.7091 5.1759
0.0000 -7.4183 5.1759
Tb Y Te
6 2 12
Cartesian
-4.2927 -1.2853 7.2428 Tb
-1.0333 -4.3602 8.2849 Tb
-3.2594 3.0749 8.2849 Tb
3.2594 -3.0749 7.2428 Tb
1.0333 4.3602 7.2428 Tb
4.2927 1.2853 8.2849 Tb
0.0000 0.0000 0.0000 Y
0.0000 0.0000 7.7639 Y
-4.1167 -4.0903 8.4245 Te
-5.6007 1.5200 7.1033 Te
-1.4446 -2.1533 6.1153 Te
1.4839 -5.6103 7.1033 Te
-1.1425 2.3277 6.1153 Te
-2.5871 0.1744 9.4124 Te
2.5871 -0.1744 6.1153 Te
1.1425 -2.3277 9.4124 Te
-1.4839 5.6103 8.4245 Te
1.4446 2.1533 9.4124 Te
5.6007 -1.5200 8.4245 Te
4.1167 4.0903 7.1033 Te
```

Computed properties:
The space group is R-3.

---

## Q
Compound: Tb3YTe6
Source: the Alexandria database
Functional: PBE
Structure: optimized geometry

Structure (POSCAR):
```
Tb3YTe6
1.0
12.5044 0.0000 0.0000
0.0000 4.3625 0.0000
-4.2546 0.0000 12.1148
Tb Y Te
6 2 12
Cartesian
0.1685 1.0906 2.0193 Tb
0.1551 3.2719 6.0876 Tb
0.3900 1.0906 11.1532 Tb
7.8598 3.2719 0.9615 Tb
8.0947 1.0906 6.0272 Tb
8.0812 3.2719 10.0955 Tb
4.4044 1.0906 3.7167 Y
3.8454 3.2719 8.3981 Y
-1.4220 1.0906 4.6223 Te
-2.6593 1.0906 11.3561 Te
1.9269 3.2719 3.4034 Te
0.6812 3.2719 9.0802 Te
2.6068 1.0906 6.4537 Te
4.7705 3.2719 1.2338 Te
3.4793 1.0906 10.8809 Te
5.6429 3.2719 5.6611 Te
7.5686 1.0906 3.0345 Te
6.3228 1.0906 8.7114 Te
10.9091 3.2719 0.7587 Te
9.6717 3.2719 7.4925 Te
```

Computed properties:
The space group is P2_1/m.

---

Name the most stable of them. Q.

---

## P
Compound: TbY3Te6
Source: the Alexandria database
Functional: PBE
Structure: optimized geometry

Structure (POSCAR):
```
TbY3Te6
1.0
12.4855 0.0000 0.0000
0.0000 4.3544 0.0000
-4.2542 0.0000 12.0873
Tb Y Te
2 6 12
Cartesian
-0.2715 1.0886 2.3467 Tb
8.5028 3.2658 9.7405 Tb
-0.5246 1.0886 7.0060 Y
-0.2980 3.2658 12.0593 Y
3.9580 1.0886 4.0323 Y
4.2734 3.2658 8.0549 Y
8.5294 1.0886 0.0279 Y
8.7559 3.2658 5.0813 Y
-0.6504 3.2658 4.8176 Te
-2.7376 1.0886 11.6906 Te
-0.8103 3.2658 9.0694 Te
2.2013 3.2658 2.6535 Te
2.5184 1.0886 6.7940 Te
5.5322 1.0886 1.4281 Te
2.6992 3.2658 10.6592 Te
5.7129 3.2658 5.2933 Te
6.0301 1.0886 9.4337 Te
9.0417 1.0886 3.0178 Te
10.9689 3.2658 0.3967 Te
8.8817 1.0886 7.2696 Te
```

Computed properties:
The space group is P2_1/m.

---

## Q
Compound: TbY3Te6
Source: the Alexandria database
Functional: PBE
Structure: optimized geometry

Structure (POSCAR):
```
TbY3Te6
1.0
3.8528 2.2244 7.0364
-3.8528 2.2244 7.0364
0.0000 -4.4488 7.0364
Tb Y Te
1 3 6
Cartesian
0.0000 0.0000 0.0000 Tb
0.0000 0.0000 3.9237 Y
0.0000 0.0000 10.5546 Y
0.0000 0.0000 14.4775 Y
-2.6468 0.1266 9.0042 Te
-1.2030 -2.0937 12.5164 Te
1.2137 -2.3555 9.0042 Te
-1.2117 2.0887 12.5164 Te
1.4330 2.2289 9.0042 Te
2.4147 0.0050 12.5164 Te
```

Computed properties:
The space group is R3.

---

Name the most stable of them. P.

---

## P
Compound: Tb2YTe4
Source: the Alexandria database
Functional: PBE
Structure: optimized geometry

Structure (POSCAR):
```
Tb2YTe4
1.0
2.1235 -7.1902 0.0000
2.1235 7.1902 0.0000
0.0000 0.0000 15.0037
Tb Y Te
4 2 8
Cartesian
2.1235 5.3024 8.5474 Tb
2.1235 5.3024 13.9582 Tb
2.1235 -5.3024 1.0456 Tb
2.1235 -5.3024 6.4563 Tb
2.1235 1.8438 11.2528 Y
2.1235 -1.8438 3.7509 Y
2.1235 6.7638 11.2528 Te
2.1235 4.0129 1.8393 Te
2.1235 4.0129 5.6625 Te
2.1235 0.0000 0.0000 Te
2.1235 0.0000 7.5019 Te
2.1235 -4.0129 9.3412 Te
2.1235 -4.0129 13.1644 Te
2.1235 -6.7638 3.7509 Te
```

Computed properties:
The space group is Cmcm.

---

## Q
Compound: Tb2YTe4
Source: the Alexandria database
Functional: PBE
Structure: optimized geometry

Structure (POSCAR):
```
Tb2YTe4
1.0
8.1689 -2.1784 0.0000
8.1689 2.1784 0.0000
-3.4955 0.0000 6.7494
Tb Y Te
2 1 4
Cartesian
3.1754 0.0000 1.5521 Tb
9.6669 0.0000 5.1972 Tb
6.4212 0.0000 3.3747 Y
0.4702 0.0000 3.1520 Te
6.0304 0.0000 0.3315 Te
6.8120 0.0000 6.4179 Te
12.3722 0.0000 3.5974 Te
```

Computed properties:
The space group is C2/m.

---

Name the most stable of them. Q.

---

## P
Compound: Tb2ZrTe
Source: the Alexandria database
Functional: PBE
Structure: optimized geometry

Structure (POSCAR):
```
Tb2ZrTe
1.0
3.8222 0.0000 0.0000
0.0000 3.8222 0.0000
0.0000 0.0000 7.4924
Tb Zr Te
2 1 1
Cartesian
0.0000 0.0000 1.7784 Tb
0.0000 0.0000 5.7140 Tb
1.9111 1.9111 3.7462 Zr
1.9111 1.9111 0.0000 Te
```

Computed properties:
The space group is P4/mmm.

---

## Q
Compound: Tb2ZrTe
Source: the Alexandria database
Functional: PBE
Structure: optimized geometry

Structure (POSCAR):
```
Tb2ZrTe
1.0
1.8517 1.0691 10.3688
-1.8517 1.0691 10.3688
0.0000 -2.1381 10.3688
Tb Zr Te
2 1 1
Cartesian
0.0000 0.0000 3.0416 Tb
0.0000 0.0000 28.0647 Tb
0.0000 0.0000 0.0000 Zr
0.0000 0.0000 15.5532 Te
```

Computed properties:
The space group is R-3m.

---

Name the most stable of them. P.